Record 1
## CeGa2PdPt2 (GGA-PBE)

Data for a relaxed CeGa2PdPt2 crystal.

It has space group P-3m1 (No. 164), with a = 4.3794 Å, b = 4.3794 Å, c = 6.6080 Å, α = 90.00°, β = 90.00° and γ = 120.00°. The inequivalent atoms are Ce at (0.0000, 0.0000, 0.0000), Ga at (0.3333, 0.6667, 0.3242), Pd at (0.0000, 0.0000, 0.5000) and Pt at (0.3333, 0.6667, 0.7298).

For the volume, the calculation gives 18.3 Å³ per atom. Its crystal system is trigonal. The density of states at the Fermi level comes out at 5.57 states/eV/cell. Its total energy is -0.212 hartree per atom. For the formation energy, the calculation gives -0.9035 eV/atom.

=====

Record 2
## Pt2C (GGA-PBE)

Data for a relaxed Pt2C crystal.

It has space group R3m (No. 160, hexagonal axes), with a = 3.0080 Å, b = 3.0080 Å, c = 14.8654 Å, α = 90.00°, β = 90.00° and γ = 120.00°. The inequivalent atoms are Pt at (0.0000, 0.0000, 0.0000), Pt at (0.0000, 0.0000, 0.1768) and C at (0.0000, 0.0000, 0.7533).

For the volume, the calculation gives 12.9 Å³ per atom. Its crystal system is trigonal. For the energy relative to the lowest polymorph listed for this composition, the calculation gives 61 meV per atom. The density of states at the Fermi level comes out at 1.69 states/eV/cell. Its total energy is -0.238 hartree per atom. For the formation energy, the calculation gives 0.6181 eV/atom.

=====

Record 3
## U2InPd9 (GGA-PBE)

Data for a relaxed U2InPd9 crystal.

It has space group P4/mmm (No. 123), with a = 4.121 Å, b = 4.121 Å, c = 12.247 Å, α = 90.00°, β = 90.00° and γ = 90.00°. The inequivalent atoms are U at (0.000, 0.000, 0.172), In at (0.000, 0.000, 0.500), Pd at (0.000, 0.500, 0.000), Pd at (0.000, 0.500, 0.334), Pd at (0.500, 0.500, 0.168) and Pd at (0.500, 0.500, 0.500).

For the volume, the calculation gives 17.3 Å³ per atom. Its crystal system is tetragonal. The density of states at the Fermi level comes out at 16.67 states/eV/cell. Its total energy is -0.240 hartree per atom. For the formation energy, the calculation gives -0.5275 eV/atom.